Entry from the Alexandria database: a geometry-optimized PmCdNiRh structure (PBE).

Structure (POSCAR):
```
PmCdNiRh
1.0
0.000 3.346 3.346
3.346 0.000 3.346
3.346 3.346 0.000
Pm Cd Ni Rh
1 1 1 1
Cartesian
0.000 0.000 0.000
3.346 3.346 3.346
1.673 1.673 1.673
5.018 5.018 5.018
```

Output
The total magnetic moment is 0.000 μB per atom. Its formation energy from the elements is -0.302 eV/atom. Its energy is -5.00 eV/atom.

=====

Entry from the Alexandria database: a geometry-optimized AgHgW3 structure (PBE).

Structure (POSCAR):
```
AgHgW3
1.0
4.916 0.000 0.000
0.000 4.916 0.000
0.000 0.000 4.916
Ag Hg W
1 1 3
Cartesian
0.000 0.000 0.000
2.458 2.458 2.458
0.000 2.458 2.458
2.458 0.000 2.458
2.458 2.458 0.000
```

Output
Its energy above the most stable polymorph in this dataset is 0.339 eV/atom. The total magnetic moment is 0.000 μB per atom. Its formation energy from the elements is 3.121 eV/atom. Its energy is -5.28 eV/atom.

=====

Entry from the Alexandria database: a geometry-optimized H2Pd8S structure (PBE).

Structure (POSCAR):
```
H2Pd8S
1.0
6.560 -2.275 0.000
6.560 2.275 0.000
-1.676 0.000 4.816
H Pd S
2 8 1
Cartesian
1.944 0.000 0.934
9.500 0.000 3.882
0.208 0.000 1.433
0.970 0.000 4.136
3.251 0.000 2.231
5.254 0.000 0.121
6.189 0.000 4.695
8.193 0.000 2.585
10.473 0.000 0.680
11.235 0.000 3.383
5.722 0.000 2.408
```

Output
The total magnetic moment is 0.000 μB per atom. Its energy is -4.80 eV/atom.

=====

Entry from the Alexandria database: a geometry-optimized ZnFe2Rh structure (PBE).

Structure (POSCAR):
```
ZnFe2Rh
1.0
1.336 0.771 8.484
-1.336 0.771 8.484
0.000 -1.543 8.484
Zn Fe Rh
1 2 1
Cartesian
0.000 0.000 0.000
0.000 0.000 6.359
0.000 0.000 12.775
0.000 0.000 19.160
```

Output
The total magnetic moment is 1.429 μB per atom. Its formation energy from the elements is 0.015 eV/atom. Its energy is -6.37 eV/atom.

=====

Entry from the Alexandria database: a geometry-optimized YBeCd2 structure (PBE).

Structure (POSCAR):
```
YBeCd2
1.0
-2.118 2.118 10.171
2.118 -2.118 10.171
2.118 2.118 -10.171
Y Be Cd
2 2 4
Cartesian
0.000 0.000 0.000
0.000 2.118 5.085
2.118 0.000 5.085
0.000 0.000 10.171
1.059 -0.913 7.628
1.205 1.059 2.543
1.059 3.031 -2.543
0.913 1.059 12.713
```

Output
The total magnetic moment is 0.000 μB per atom. Its formation energy from the elements is 0.275 eV/atom. Its energy is -2.73 eV/atom.

=====

Entry from the Alexandria database: a geometry-optimized NaAlAsSe2 structure (PBE).

Structure (POSCAR):
```
NaAlAsSe2
1.0
5.095 0.000 0.000
0.000 5.095 0.000
0.000 0.000 4.811
Na Al As Se
1 1 1 2
Cartesian
0.000 0.000 0.000
2.548 2.548 2.405
2.548 2.548 0.000
0.000 2.548 2.405
2.548 0.000 2.405
```

Output
Its energy above the most stable polymorph in this dataset is 0.000 eV/atom. As for the formation energy (no corrections): -162 meV per atom. The total magnetic moment is 0.066 μB per atom. Its energy is -3.50 eV/atom.

=====

Entry from the Alexandria database: a geometry-optimized NbAlN2 structure (PBE).

Structure (POSCAR):
```
NbAlN2
1.0
-2.347 2.347 4.438
2.347 -2.347 4.438
2.347 2.347 -4.438
Nb Al N
2 2 4
Cartesian
0.000 0.000 0.000
0.000 2.347 2.219
2.347 0.000 2.219
0.000 0.000 4.438
1.173 -1.014 3.329
1.333 1.173 1.110
1.173 3.361 -1.110
1.014 1.173 5.548
```

Output
As for the formation energy (no corrections): -764 meV per atom. The total magnetic moment is 0.000 μB per atom. Its energy is -8.38 eV/atom.

=====

Entry from the Alexandria database: a geometry-optimized NaBe2Au4 structure (PBE).

Structure (POSCAR):
```
NaBe2Au4
1.0
-2.459 2.459 6.279
2.459 -2.459 6.279
2.459 2.459 -6.279
Na Be Au
1 2 4
Cartesian
0.000 0.000 0.000
0.000 0.000 5.262
0.000 0.000 7.295
2.459 0.000 0.000
0.000 0.000 3.126
0.000 2.459 0.000
0.000 0.000 9.432
```

Output
The total magnetic moment is 0.000 μB per atom. Its formation energy from the elements is 0.500 eV/atom. Its energy is -2.63 eV/atom.

=====

Entry from the Alexandria database: a geometry-optimized PrH2OsO6 structure (PBE).

Structure (POSCAR):
```
PrH2OsO6
1.0
5.087 0.000 0.000
2.328 4.730 0.000
2.301 1.513 5.134
Pr H Os O
1 2 1 6
Cartesian
0.000 0.000 0.000
2.606 2.225 1.544
8.022 4.296 3.550
4.946 3.049 2.510
3.890 4.513 3.641
3.222 2.949 1.290
3.997 1.894 3.541
5.307 4.400 1.358
6.355 3.220 3.662
5.737 1.746 1.486
```

Output
The total magnetic moment is 0.102 μB per atom. Its energy is -6.80 eV/atom.

=====

Entry from the Alexandria database: a geometry-optimized Ag2PbF4 structure (PBE).

Structure (POSCAR):
```
Ag2PbF4
1.0
-3.270 3.270 2.969
3.270 -3.270 2.969
3.270 3.270 -2.969
Ag Pb F
2 1 4
Cartesian
3.270 0.000 1.484
0.000 3.270 1.484
0.000 0.000 0.000
4.603 1.382 0.000
1.382 1.936 0.000
1.888 1.333 2.969
-1.333 1.888 2.969
```

Output
Its energy above the most stable polymorph in this dataset is 0.163 eV/atom. As for the formation energy (no corrections): -1396 meV per atom. The total magnetic moment is 0.000 μB per atom. Its energy is -3.81 eV/atom.

=====

Entry from the Alexandria database: a geometry-optimized Zr4MnZn3 structure (PBE).

Structure (POSCAR):
```
Zr4MnZn3
1.0
3.295 0.000 0.000
0.000 3.295 0.000
0.000 0.000 13.321
Zr Mn Zn
4 1 3
Cartesian
0.000 0.000 1.521
0.000 0.000 4.950
0.000 0.000 8.371
0.000 0.000 11.801
1.647 1.647 0.000
1.647 1.647 3.259
1.647 1.647 6.661
1.647 1.647 10.062
```

Output
The total magnetic moment is 0.000 μB per atom. Its formation energy from the elements is -0.231 eV/atom. Its energy is -6.13 eV/atom.

=====

Entry from the Alexandria database: a geometry-optimized CdHgAs2 structure (PBE).

Structure (POSCAR):
```
CdHgAs2
1.0
-3.071 3.071 6.131
3.071 -3.071 6.131
3.071 3.071 -6.131
Cd Hg As
2 2 4
Cartesian
0.000 0.000 0.000
0.000 3.071 3.065
3.071 0.000 3.065
0.000 0.000 6.131
1.536 -1.523 4.598
1.548 1.536 1.533
1.536 4.595 -1.533
1.523 1.536 7.663
```

Output
Its energy above the most stable polymorph in this dataset is 0.232 eV/atom. The total magnetic moment is 0.000 μB per atom. Its formation energy from the elements is 0.254 eV/atom. Its energy is -2.37 eV/atom.